# 1
Here is an optimized crystal structure of TbHoB2Ir2N2 from OQMD via LeMat-Bulk. Energies are from GGA-PBE.

Output
- Calculated total energy: -0.3040 Ha/atom
- Total magnetization: 0.002 μB per atom
- Mass density: 12.07 g/cm³

Unit cell a=3.743 b=3.743 c=7.443 alpha=90.00 beta=90.00 gamma=90.00
Sites, in units of the cell vectors:
N 0.000 0.000 0.858
N 0.500 0.500 0.144
B 0.000 0.000 0.657
B 0.500 0.500 0.344
Ir 0.000 0.500 0.499
Ir 0.500 0.000 0.499
Ho 0.000 0.000 0.162
Tb 0.500 0.500 0.837



# 2
Here is an optimized crystal structure of GdPdO3 from OQMD via LeMat-Bulk. Energies are from GGA-PBE.

Output
- Calculated total energy: -0.2456 Ha/atom
- Total magnetization: 0.200 μB per atom
- Mass density: 7.84 g/cm³

Unit cell a=5.656 b=5.656 c=5.779 alpha=60.71 beta=60.71 gamma=60.00
Site moments in Bohr magnetons follow the coordinates.
Sites, in units of the cell vectors:
Pd 0.845 0.845 0.464  0.60
Pd 0.155 0.155 0.536  0.60
O 0.449 0.775 0.738  0.10
O 0.962 0.551 0.262  0.10
O 0.775 0.038 0.738  0.09
O 0.551 0.225 0.262  0.10
O 0.225 0.962 0.262  0.09
O 0.038 0.449 0.738  0.10
Gd 0.367 0.367 0.900  0.06
Gd 0.633 0.633 0.100  0.06



# 3
Here is an optimized crystal structure of CdAg2Bi from OQMD via LeMat-Bulk. Energies are from GGA-PBE.

Output
- Calculated total energy: -0.0922 Ha/atom
- Mass density: 9.88 g/cm³

Unit cell a=5.035 b=5.035 c=5.035 alpha=60.00 beta=60.00 gamma=60.00
Sites, in units of the cell vectors:
Ag 0.000 0.000 0.000
Ag 0.750 0.750 0.750
Cd 0.250 0.250 0.250
Bi 0.500 0.500 0.500



# 4
Here is an optimized crystal structure of NdTlHgSe3 from OQMD via LeMat-Bulk. Energies are from GGA-PBE.

Output
- Energy relative to the lowest polymorph listed for this composition: 17 meV per atom
- Calculated total energy: -0.1435 Ha/atom
- Total magnetization: 0.001 μB per atom
- Mass density: 7.15 g/cm³

Unit cell a=8.320 b=4.317 c=10.594 alpha=90.00 beta=106.21 gamma=90.00
Sites, in units of the cell vectors:
Nd 0.196 0.250 0.635
Nd 0.804 0.750 0.365
Tl 0.233 0.750 0.215
Tl 0.767 0.250 0.785
Hg 0.415 0.750 0.884
Hg 0.585 0.250 0.116
Se 0.752 0.750 0.058
Se 0.553 0.250 0.358
Se 0.046 0.250 0.353
Se 0.954 0.750 0.647
Se 0.447 0.750 0.642
Se 0.248 0.250 0.942



# 5
Here is an optimized crystal structure of RbRe2Cl6O2 from OQMD via LeMat-Bulk. Energies are from GGA-PBE.

Output
- Calculated total energy: -0.1976 Ha/atom
- Total magnetization: 0.001 μB per atom
- Mass density: 4.66 g/cm³

Unit cell a=6.795 b=6.795 c=10.625 alpha=106.79 beta=106.79 gamma=32.32
Sites, in units of the cell vectors:
O 0.503 0.503 0.635
O 0.497 0.497 0.365
Re 0.997 0.997 0.365
Re 0.003 0.003 0.635
Rb 0.500 0.500 0.000
Cl 0.154 0.154 0.552
Cl 0.126 0.126 0.246
Cl 0.846 0.846 0.448
Cl 0.137 0.137 0.846
Cl 0.874 0.874 0.754
Cl 0.863 0.863 0.154



# 6
Here is an optimized crystal structure of ZnBi2 from OQMD via LeMat-Bulk. Energies are from GGA-PBE.

Output
- Calculated total energy: -0.1082 Ha/atom
- Mass density: 10.08 g/cm³

Unit cell a=5.957 b=5.957 c=5.957 alpha=119.04 beta=104.91 gamma=104.91
Sites, in units of the cell vectors:
Zn 0.000 0.250 0.250
Zn 0.000 0.750 0.750
Bi 0.500 0.838 0.662
Bi 0.823 0.662 0.162
Bi 0.500 0.162 0.338
Bi 0.177 0.338 0.838



# 7
Here is an optimized crystal structure of LiHgPO from OQMD via LeMat-Bulk. Energies are from GGA-PBE.

Output
- Energy relative to the lowest polymorph listed for this composition: 377 meV per atom
- Calculated total energy: -0.1183 Ha/atom
- Mass density: 7.26 g/cm³

Unit cell a=4.039 b=4.039 c=7.136 alpha=90.00 beta=90.00 gamma=90.00
Sites, in units of the cell vectors:
P 0.000 0.000 0.775
P 0.500 0.500 0.225
O 0.500 0.000 0.000
O 0.000 0.500 0.000
Hg 0.000 0.500 0.500
Hg 0.500 0.000 0.500
Li 0.000 0.000 0.105
Li 0.500 0.500 0.895



# 8
Here is an optimized crystal structure of YHoPBr2 from OQMD via LeMat-Bulk. Energies are from GGA-PBE.

Output
- Calculated total energy: -0.2107 Ha/atom
- Total magnetization: 0.001 μB per atom
- Mass density: 4.94 g/cm³

Unit cell a=3.993 b=3.993 c=10.811 alpha=90.00 beta=90.00 gamma=120.00
Sites, in units of the cell vectors:
Br 0.000 0.000 0.810
Br 0.333 0.667 0.192
P 0.667 0.333 0.498
Y 0.333 0.667 0.640
Ho 0.000 0.000 0.360